The following is a DFT calculation (PBE-GGA) of an optimized crystal structure of CdCo2Au.

Calculated values
**Symmetry**: No. 99

Lattice parameters (Å, degrees): 2.891 2.891 7.220 90.00 90.00 90.00
Positions (direct):
Co: 0.000 0.000 0.043
Cd: 0.500 0.500 0.777
Au: 0.000 0.000 0.468
Co: 0.500 0.500 0.212

***

The following is a DFT calculation (PBE-GGA) of an optimized crystal structure of CdCo2Au.

Calculated values
**Symmetry**: No. 44

Lattice parameters (Å, degrees): 5.202 5.202 5.202 145.97 128.57 63.11
Positions (direct):
Cd: 0.237 0.737 0.500
Co: 0.775 0.275 0.500
Co: 0.970 0.970 0.000
Au: 0.517 0.517 0.000

***

The following is a DFT calculation (PBE-GGA) of an optimized crystal structure of CdCo2Au2.

Calculated values
**Symmetry**: No. 127

Lattice parameters (Å, degrees): 7.000 7.000 3.325 90.00 90.00 90.00
Positions (direct):
Co: 0.385 0.885 0.000
Co: 0.115 0.385 0.000
Cd: 0.500 0.500 0.000
Co: 0.885 0.615 0.000
Au: 0.322 0.178 0.500
Au: 0.678 0.822 0.500
Au: 0.822 0.322 0.500
Cd: 0.000 0.000 0.000
Au: 0.178 0.678 0.500
Co: 0.615 0.115 0.000

***

The following is a DFT calculation (PBE-GGA) of an optimized crystal structure of CdCo2Au.

Calculated values
**Symmetry**: No. 6

Lattice parameters (Å, degrees): 4.122 2.806 5.455 74.97 90.00 90.00
Positions (direct):
Co: 0.000 0.170 0.024
Co: 0.500 0.077 0.231
Au: 0.000 0.454 0.470
Cd: 0.500 0.799 0.775

***

| no. | ΔE_f (meV per atom) |
| --- | --- |
| 1 | 120 |
| 2 | 236 |
| 3 | 243 |
| 4 | 243 |